# 1
K2TiBr5: optimized geometry, PBE.

uncorrected energy: -3.736 eV/atom
total magnetic moment: 1.0 μB/f.u.

Geometry as CIF:
```
data_K2TiBr5
_cell_length_a 8.0337
_cell_length_b 8.0337
_cell_length_c 9.1264
_cell_angle_alpha 90.00
_cell_angle_beta 90.00
_cell_angle_gamma 90.00
_symmetry_space_group_name_H-M 'I 4 m m'
_symmetry_Int_Tables_number 107
_symmetry_space_group_name_Hall 'I 4 -2'
loop_
_atom_site_label
_atom_site_type_symbol
_atom_site_fract_x
_atom_site_fract_y
_atom_site_fract_z
K1 K 0.0000 0.5000 0.0000
Ti1 Ti 0.0000 0.0000 0.3042
Br1 Br 0.0000 0.0000 0.5628
Br2 Br 0.2203 0.2203 0.2428
```

# 2
Tm2Cu3Si: optimized geometry, PBE.

uncorrected energy: -4.878 eV/atom
total magnetic moment: 0.0 μB/f.u.

Geometry as CIF:
```
data_Tm2Cu3Si
_cell_length_a 3.4055
_cell_length_b 4.1626
_cell_length_c 7.4649
_cell_angle_alpha 90.00
_cell_angle_beta 90.00
_cell_angle_gamma 90.00
_symmetry_space_group_name_H-M 'P m m 2'
_symmetry_Int_Tables_number 25
_symmetry_space_group_name_Hall 'P 2 -2'
loop_
_atom_site_label
_atom_site_type_symbol
_atom_site_fract_x
_atom_site_fract_y
_atom_site_fract_z
Tm1 Tm 0.0000 0.0000 0.0000
Tm2 Tm 0.0000 0.5000 0.4839
Cu1 Cu 0.5000 0.0000 0.3298
Cu2 Cu 0.5000 0.0000 0.6647
Cu3 Cu 0.5000 0.5000 0.1496
Si1 Si 0.5000 0.5000 0.8219
```

# 3
ZrGaHgPd: optimized geometry, PBE.

uncorrected energy: -4.601 eV/atom
total magnetic moment: 0.0 μB/f.u.

Geometry as CIF:
```
data_ZrGaHgPd
_cell_length_a 6.6510
_cell_length_b 6.6510
_cell_length_c 6.6510
_cell_angle_alpha 90.00
_cell_angle_beta 90.00
_cell_angle_gamma 90.00
_symmetry_space_group_name_H-M 'F -4 3 m'
_symmetry_Int_Tables_number 216
_symmetry_space_group_name_Hall 'F -4 2 3'
loop_
_atom_site_label
_atom_site_type_symbol
_atom_site_fract_x
_atom_site_fract_y
_atom_site_fract_z
Zr1 Zr 0.0000 0.0000 0.0000
Ga1 Ga 0.2500 0.2500 0.2500
Hg1 Hg 0.2500 0.2500 0.7500
Pd1 Pd 0.0000 0.0000 0.5000
```

# 4
Be4C3: optimized geometry, PBE.

uncorrected energy: -5.334 eV/atom
total magnetic moment: 0.0 μB/f.u.

Geometry as CIF:
```
data_Be4C3
_cell_length_a 2.5054
_cell_length_b 2.5054
_cell_length_c 16.3454
_cell_angle_alpha 90.00
_cell_angle_beta 90.00
_cell_angle_gamma 90.00
_symmetry_space_group_name_H-M 'I 4/m m m'
_symmetry_Int_Tables_number 139
_symmetry_space_group_name_Hall '-I 4 2'
loop_
_atom_site_label
_atom_site_type_symbol
_atom_site_fract_x
_atom_site_fract_y
_atom_site_fract_z
Be1 Be 0.0000 0.0000 0.0666
Be2 Be 0.0000 0.0000 0.2916
C1 C 0.0000 0.0000 0.1733
C2 C 0.0000 0.0000 0.5000
```

# 5
La4Pm3Tm2: optimized geometry, PBE.

uncorrected energy: -4.741 eV/atom
total magnetic moment: 0.0 μB/f.u.

Geometry as CIF:
```
data_La4Pm3Tm2
_cell_length_a 15.5384
_cell_length_b 5.2000
_cell_length_c 8.1269
_cell_angle_alpha 90.00
_cell_angle_beta 108.37
_cell_angle_gamma 90.00
_symmetry_space_group_name_H-M 'C 1 2/m 1'
_symmetry_Int_Tables_number 12
_symmetry_space_group_name_Hall '-C 2y'
loop_
_atom_site_label
_atom_site_type_symbol
_atom_site_fract_x
_atom_site_fract_y
_atom_site_fract_z
La1 La 0.0544 0.0000 0.3285
La2 La 0.2236 0.5000 0.3298
Pm1 Pm 0.0000 0.5000 0.0000
Pm2 Pm 0.1123 0.5000 0.6703
Tm1 Tm 0.1683 0.0000 0.9993
```

# 6
Dy2ThSc4: optimized geometry, PBE.

uncorrected energy: -5.817 eV/atom
total magnetic moment: 0.0 μB/f.u.

Geometry as CIF:
```
data_Dy2ThSc4
_cell_length_a 10.4421
_cell_length_b 11.0587
_cell_length_c 3.4440
_cell_angle_alpha 90.00
_cell_angle_beta 90.00
_cell_angle_gamma 90.00
_symmetry_space_group_name_H-M 'C m m m'
_symmetry_Int_Tables_number 65
_symmetry_space_group_name_Hall '-C 2 2'
loop_
_atom_site_label
_atom_site_type_symbol
_atom_site_fract_x
_atom_site_fract_y
_atom_site_fract_z
Dy1 Dy 0.1959 0.0000 0.0000
Th1 Th 0.0000 0.5000 0.5000
Sc1 Sc 0.0000 0.2406 0.0000
Sc2 Sc 0.2500 0.2500 0.5000
```

# 7
RbTa: optimized geometry, PBE.

uncorrected energy: -3.105 eV/atom
total magnetic moment: 4.0 μB/f.u.

Geometry as CIF:
```
data_RbTa
_cell_length_a 6.4590
_cell_length_b 6.4590
_cell_length_c 7.4131
_cell_angle_alpha 90.00
_cell_angle_beta 90.00
_cell_angle_gamma 120.00
_symmetry_space_group_name_H-M 'P 63/m m c'
_symmetry_Int_Tables_number 194
_symmetry_space_group_name_Hall '-P 6c 2c'
loop_
_atom_site_label
_atom_site_type_symbol
_atom_site_fract_x
_atom_site_fract_y
_atom_site_fract_z
Rb1 Rb 0.3333 0.6667 0.2500
Ta1 Ta 0.3333 0.6667 0.7500
```

# 8
KV2HgPb: optimized geometry, PBE.

uncorrected energy: -2.839 eV/atom
total magnetic moment: 8.2 μB/f.u.

Geometry as CIF:
```
data_KV2HgPb
_cell_length_a 5.2797
_cell_length_b 5.2797
_cell_length_c 5.6359
_cell_angle_alpha 90.00
_cell_angle_beta 90.00
_cell_angle_gamma 90.00
_symmetry_space_group_name_H-M 'P 4/m m m'
_symmetry_Int_Tables_number 123
_symmetry_space_group_name_Hall '-P 4 2'
loop_
_atom_site_label
_atom_site_type_symbol
_atom_site_fract_x
_atom_site_fract_y
_atom_site_fract_z
K1 K 0.0000 0.0000 0.0000
V1 V 0.0000 0.5000 0.0000
Hg1 Hg 0.0000 0.0000 0.5000
Pb1 Pb 0.5000 0.5000 0.5000
```

Which of these has the lowest uncorrected energy? Dy2ThSc4

total magnetic moment of number 4 (Be4C3)? 0.0 μB/f.u.

Which of these has the highest uncorrected energy? KV2HgPb

What is the uncorrected energy in the fifth record? -4.741 eV/atom